[1]
# GGA-PBE SnPd4Pb3, optimized geometry
data_SnPd4Pb3
_chemical_formula_sum 'Sn2 Pd8 Pb6'
_cell_length_a 7.329
_cell_length_b 9.332
_cell_length_c 5.542
_cell_angle_alpha 90.00
_cell_angle_beta 90.00
_cell_angle_gamma 90.00
_space_group_name_H-M_alt 'P 1'
_space_group_IT_number 1
loop_
_space_group_symop_operation_xyz
'x,y,z'
loop_
_atom_site_label
_atom_site_fract_x
_atom_site_fract_y
_atom_site_fract_z
Sn1 0.000 0.126 0.000
Sn2 0.500 0.874 0.500
Pd1 0.000 0.138 0.494
Pd2 0.000 0.871 0.796
Pd3 0.192 0.348 0.828
Pd4 0.308 0.652 0.328
Pd5 0.500 0.129 0.296
Pd6 0.500 0.862 0.994
Pd7 0.692 0.652 0.328
Pd8 0.808 0.348 0.828
Pb1 0.000 0.836 0.306
Pb2 0.249 0.643 0.831
Pb3 0.251 0.357 0.331
Pb4 0.500 0.164 0.806
Pb5 0.749 0.357 0.331
Pb6 0.751 0.643 0.831
# - energy of formation from the pure elements (eV per atom) = -0.137
# - DOS(E_F) (states/eV/atom) = 0.411

[2]
# GGA-PBE Sn2PdPb, optimized geometry
data_Sn2PdPb
_chemical_formula_sum 'Sn2 Pd1 Pb1'
_cell_length_a 6.833
_cell_length_b 6.833
_cell_length_c 6.833
_cell_angle_alpha 37.59
_cell_angle_beta 37.59
_cell_angle_gamma 37.59
_space_group_name_H-M_alt 'P 1'
_space_group_IT_number 1
loop_
_space_group_symop_operation_xyz
'x,y,z'
loop_
_atom_site_label
_atom_site_fract_x
_atom_site_fract_y
_atom_site_fract_z
Sn1 0.000 0.000 0.000
Sn2 0.219 0.219 0.219
Pd1 0.611 0.611 0.611
Pb1 0.773 0.773 0.773
# - energy of formation from the pure elements (eV per atom) = -0.172
# - DOS(E_F) (states/eV/atom) = 0.609

[3]
# GGA-PBE SnPd9Pb2, optimized geometry
data_SnPd9Pb2
_chemical_formula_sum 'Sn1 Pd9 Pb2'
_cell_length_a 4.089
_cell_length_b 4.089
_cell_length_c 12.264
_cell_angle_alpha 90.00
_cell_angle_beta 90.00
_cell_angle_gamma 90.00
_space_group_name_H-M_alt 'P 1'
_space_group_IT_number 1
loop_
_space_group_symop_operation_xyz
'x,y,z'
loop_
_atom_site_label
_atom_site_fract_x
_atom_site_fract_y
_atom_site_fract_z
Sn1 0.000 0.000 0.000
Pd1 0.000 0.500 0.161
Pd2 0.000 0.500 0.500
Pd3 0.000 0.500 0.839
Pd4 0.500 0.000 0.161
Pd5 0.500 0.000 0.500
Pd6 0.500 0.000 0.839
Pd7 0.500 0.500 0.000
Pd8 0.500 0.500 0.331
Pd9 0.500 0.500 0.669
Pb1 0.000 0.000 0.331
Pb2 0.000 0.000 0.669
# - energy of formation from the pure elements (eV per atom) = -0.361
# - DOS(E_F) (states/eV/atom) = 0.306

DOS(E_F) of number 2 (Sn2PdPb)? 0.609 states/eV/atom

The highest DOS(E_F) belongs to which entry? Sn2PdPb

Which value of energy of formation from the pure elements does entry 2 give? -0.172 eV per atom

The highest DOS(E_F) belongs to which entry? Sn2PdPb